Entry 1:
LiDy5Sb4 after structural relaxation, computed with PBE.

Structure (POSCAR):
```
LiDy5Sb4
1.0
-4.834 4.834 3.111
4.834 -4.834 3.111
4.834 4.834 -3.111
Li Dy Sb
1 5 4
Cartesian
0.000 0.000 0.000
3.865 -1.824 1.912
0.000 0.000 2.955
5.802 1.824 1.912
1.824 3.865 1.912
-1.824 5.802 1.912
5.807 2.044 -1.189
2.044 3.860 -1.189
2.790 0.973 1.922
-0.973 2.790 1.922
```

Calculated values
The uncorrected formation energy comes out at -812 meV/atom. Its crystal system is tetragonal.

Entry 2:
LiZrIr after structural relaxation, computed with PBE.

Structure (POSCAR):
```
LiZrIr
1.0
4.361 0.000 0.000
-2.180 3.776 0.000
0.000 0.000 2.979
Li Zr Ir
1 1 1
Cartesian
0.000 0.000 0.000
2.180 1.259 1.173
0.000 2.518 2.236
```

Calculated values
The relative energy among the computed polymorphs is 0 meV/atom. Its crystal system is trigonal. For the formation energy from the elements, the calculation gives -0.399 eV per atom.

Entry 3:
ReN after structural relaxation, computed with PBE.

Structure (POSCAR):
```
ReN
1.0
2.798 0.000 0.000
-1.399 2.423 0.000
0.000 0.000 5.911
Re N
2 2
Cartesian
0.000 0.000 0.000
0.000 0.000 2.955
0.000 1.615 1.478
1.399 0.808 4.433
```

Calculated values
The relative energy among the computed polymorphs is 379 meV/atom. The uncorrected formation energy comes out at 423 meV/atom. Its crystal system is hexagonal.

Entry 4:
Sm2TmMg after structural relaxation, computed with PBE.

Structure (POSCAR):
```
Sm2TmMg
1.0
3.528 0.000 0.000
0.000 1.730 10.161
0.000 -1.730 10.161
Sm Tm Mg
2 1 1
Cartesian
0.000 0.000 0.000
0.000 0.000 4.671
1.764 0.000 17.311
1.764 0.000 12.475
```

Calculated values
The relative energy among the computed polymorphs is 121 meV/atom. Its crystal system is orthorhombic. For the formation energy from the elements, the calculation gives 0.097 eV per atom.

Entry 5:
YZn7Ni5 after structural relaxation, computed with PBE.

Structure (POSCAR):
```
YZn7Ni5
1.0
-2.513 4.267 4.244
2.513 -4.267 4.244
2.513 4.267 -4.244
Y Zn Ni
1 7 5
Cartesian
0.000 0.000 0.000
2.513 1.823 0.130
2.513 0.000 2.074
0.000 0.000 2.981
0.000 2.955 0.233
0.000 0.000 5.651
0.000 5.579 0.233
0.000 2.444 4.374
1.249 2.128 -1.960
1.264 -2.139 2.284
1.249 6.406 -1.960
1.264 2.139 2.284
0.000 4.267 2.492
```

Calculated values
Its crystal system is orthorhombic. For the formation energy from the elements, the calculation gives -0.300 eV per atom.

Entry 6:
InSiOs after structural relaxation, computed with PBE.

Structure (POSCAR):
```
InSiOs
1.0
-1.510 1.762 4.719
1.510 -1.762 4.719
1.510 1.762 -4.719
In Si Os
1 1 1
Cartesian
0.000 0.000 0.000
0.000 0.000 2.778
0.000 0.000 6.616
```

Calculated values
The uncorrected formation energy comes out at 144 meV/atom. Its crystal system is orthorhombic.

Entry 7:
Zr2Hg2Ge after structural relaxation, computed with PBE.

Structure (POSCAR):
```
Zr2Hg2Ge
1.0
7.152 0.000 0.000
0.000 7.152 0.000
0.000 0.000 4.297
Zr Hg Ge
4 4 2
Cartesian
1.189 2.387 0.000
2.387 5.963 0.000
4.765 1.189 0.000
5.963 4.765 0.000
0.986 4.562 2.148
2.590 0.986 2.148
4.562 6.166 2.148
6.166 2.590 2.148
0.000 0.000 2.148
3.576 3.576 2.148
```

Calculated values
The relative energy among the computed polymorphs is 185 meV/atom. Its crystal system is tetragonal. For the formation energy from the elements, the calculation gives 0.034 eV per atom.

Entry 8:
TlPb2Se after structural relaxation, computed with PBE.

Structure (POSCAR):
```
TlPb2Se
1.0
-3.350 3.350 7.311
3.350 -3.350 7.311
3.350 3.350 -7.311
Tl Pb Se
2 4 2
Cartesian
0.000 0.000 0.000
0.000 3.350 3.655
1.675 -1.568 5.483
1.782 1.675 1.828
1.675 4.918 -1.828
1.568 1.675 9.138
3.350 0.000 3.655
0.000 0.000 7.311
```

Calculated values
The relative energy among the computed polymorphs is 233 meV/atom. The uncorrected formation energy comes out at 81 meV/atom. Its crystal system is tetragonal.

Entry 9:
ZnAgW2 after structural relaxation, computed with PBE.

Structure (POSCAR):
```
ZnAgW2
1.0
4.922 -1.461 0.000
4.922 1.461 0.000
-0.968 0.000 4.476
Zn Ag W
1 1 2
Cartesian
0.000 0.000 0.000
4.438 0.000 2.238
1.760 0.000 3.376
7.117 0.000 1.100
```

Calculated values
Its crystal system is monoclinic. For the formation energy from the elements, the calculation gives 0.479 eV per atom.

Entry 10:
Tb2Sm6Y5 after structural relaxation, computed with PBE.

Structure (POSCAR):
```
Tb2Sm6Y5
1.0
11.712 0.000 0.000
0.000 20.518 0.000
0.000 0.000 3.627
Tb Sm Y
4 12 10
Cartesian
1.969 4.358 0.000
3.887 14.617 0.000
7.825 5.901 0.000
9.743 16.160 0.000
0.728 18.910 0.000
0.942 13.018 0.000
2.028 7.518 1.814
3.829 17.777 1.814
4.914 2.759 0.000
5.128 8.651 0.000
6.584 11.867 0.000
6.798 17.759 0.000
7.884 2.741 1.814
9.685 13.000 1.814
10.770 7.500 0.000
10.984 1.608 0.000
0.000 10.259 1.814
1.068 15.918 1.814
2.321 1.151 1.814
3.535 11.410 1.814
4.788 5.659 1.814
5.856 0.000 1.814
6.924 14.859 1.814
8.178 9.108 1.814
9.391 19.367 1.814
10.644 4.600 1.814
```

Calculated values
Its crystal system is orthorhombic. For the formation energy from the elements, the calculation gives 0.099 eV per atom.

Entry 11:
CdReSCl2 after structural relaxation, computed with PBE.

Structure (POSCAR):
```
CdReSCl2
1.0
4.964 0.000 0.000
0.000 4.964 0.000
0.000 0.000 5.370
Cd Re S Cl
1 1 1 2
Cartesian
0.000 0.000 0.000
2.482 2.482 2.685
0.000 0.000 2.685
0.000 2.482 0.000
2.482 0.000 0.000
```

Calculated values
The relative energy among the computed polymorphs is 805 meV/atom. The uncorrected formation energy comes out at 885 meV/atom. Its crystal system is tetragonal.

Entry 12:
La2PBr2 after structural relaxation, computed with PBE.

Structure (POSCAR):
```
La2PBr2
1.0
2.134 1.232 10.905
-2.134 1.232 10.905
0.000 -2.464 10.905
La P Br
2 1 2
Cartesian
0.000 0.000 3.819
0.000 0.000 28.897
0.000 0.000 16.358
0.000 0.000 8.961
0.000 0.000 23.755
```

Calculated values
The uncorrected formation energy comes out at -1841 meV/atom. Its crystal system is trigonal.

| no. | V (Å³/f.u.) | D(E_F) (states/eV per atom) | E (eV/atom) |
| --- | --- | --- | --- |
| 1 | 290.7 | 0.570 | -4.954 |
| 2 | 49.1 | 0.535 | -6.840 |
| 3 | 20.0 | 0.544 | -9.964 |
| 4 | 124.0 | 1.596 | -3.779 |
| 5 | 182.0 | 0.459 | -3.706 |
| 6 | 50.2 | 0.323 | -6.320 |
| 7 | 109.9 | 0.755 | -4.430 |
| 8 | 164.1 | 0.391 | -3.236 |
| 9 | 64.4 | 0.673 | -7.029 |
| 10 | 435.9 | 1.209 | -5.278 |
| 11 | 132.3 | 0.297 | -3.352 |
| 12 | 172.0 | 0.466 | -5.563 |